1.
# PHPd2I (PBE-GGA, optimized geometry)
data_PHPd2I
_chemical_formula_sum 'P1 H1 Pd2 I1'
_space_group_name_H-M_alt 'P 4/m m m'
_space_group_IT_number 123
_space_group_name_Hall '-P 4 2'
_cell_length_a 4.161
_cell_length_b 4.161
_cell_length_c 4.435
_cell_angle_alpha 90.00
_cell_angle_beta 90.00
_cell_angle_gamma 90.00
loop_
_atom_site_label
_atom_site_fract_x
_atom_site_fract_y
_atom_site_fract_z
_atom_site_occupancy
P1 0.000 0.000 0.000 1
H1 0.000 0.000 0.500 1
Pd1 0.000 0.500 0.500 1
I1 0.500 0.500 0.000 1
# VASP energy ... -18.41 eV per cell

=====

2.
# PuMgZnSb (PBE-GGA, optimized geometry)
data_PuMgZnSb
_chemical_formula_sum 'Pu4 Mg4 Zn4 Sb4'
_space_group_name_H-M_alt 'F -4 3 m'
_space_group_IT_number 216
_space_group_name_Hall 'F -4 2 3'
_cell_length_a 7.212
_cell_length_b 7.212
_cell_length_c 7.212
_cell_angle_alpha 90.00
_cell_angle_beta 90.00
_cell_angle_gamma 90.00
loop_
_atom_site_label
_atom_site_fract_x
_atom_site_fract_y
_atom_site_fract_z
_atom_site_occupancy
Pu1 0.000 0.000 0.000 1
Mg1 0.000 0.000 0.500 1
Zn1 0.250 0.250 0.250 1
Sb1 0.250 0.250 0.750 1
# ΔE_f (raw) ... -0.9 eV per formula unit
# VASP energy ... -88.87 eV per cell

=====

3.
# Ac6TeS12 (PBE-GGA, optimized geometry)
data_Ac6TeS12
_chemical_formula_sum 'Ac18 Te3 S36'
_space_group_name_H-M_alt 'R -3'
_space_group_IT_number 148
_space_group_name_Hall '-R 3'
_cell_length_a 12.6454
_cell_length_b 12.6454
_cell_length_c 12.3157
_cell_angle_alpha 90.00
_cell_angle_beta 90.00
_cell_angle_gamma 120.00
loop_
_atom_site_label
_atom_site_fract_x
_atom_site_fract_y
_atom_site_fract_z
_atom_site_occupancy
Ac1 0.0492 0.7817 0.1412 1
Te1 0.0000 0.0000 0.5000 1
S1 0.0376 0.8140 0.9031 1
S2 0.0656 0.8648 0.3883 1
# ΔE_f (raw) ... -31.3 eV per formula unit
# VASP energy ... -325.72 eV per cell

=====

4.
# PaZn2TcH6 (PBE-GGA, optimized geometry)
data_PaZn2TcH6
_chemical_formula_sum 'Pa2 Zn4 Tc2 H12'
_space_group_name_H-M_alt 'P 1 21/c 1'
_space_group_IT_number 14
_space_group_name_Hall '-P 2ybc'
_cell_length_a 4.373
_cell_length_b 5.856
_cell_length_c 8.433
_cell_angle_alpha 90.00
_cell_angle_beta 120.47
_cell_angle_gamma 90.00
loop_
_atom_site_label
_atom_site_fract_x
_atom_site_fract_y
_atom_site_fract_z
_atom_site_occupancy
Pa1 0.000 0.000 0.000 1
Zn1 0.243 0.046 0.722 1
Tc1 0.500 0.000 0.500 1
H1 0.139 0.123 0.295 1
H2 0.178 0.647 0.022 1
H3 0.460 0.690 0.427 1
# VASP energy ... -83.98 eV per cell

=====

5.
# CaLuGa (PBE-GGA, optimized geometry)
data_CaLuGa
_chemical_formula_sum 'Ca1 Lu1 Ga1'
_space_group_name_H-M_alt 'P 3 m 1'
_space_group_IT_number 156
_space_group_name_Hall 'P 3 -2"'
_cell_length_a 5.0214
_cell_length_b 5.0214
_cell_length_c 3.7287
_cell_angle_alpha 90.00
_cell_angle_beta 90.00
_cell_angle_gamma 120.00
loop_
_atom_site_label
_atom_site_fract_x
_atom_site_fract_y
_atom_site_fract_z
_atom_site_occupancy
Ca1 0.0000 0.0000 0.0000 1
Lu1 0.6667 0.3333 0.5282 1
Ga1 0.3333 0.6667 0.3609 1
# Offset from the most stable computed form ... 127.8 meV per atom
# VASP energy ... -10.07 eV per cell
# Energy relative to the elements ... -173.5 meV per atom

=====

6.
# Cd2In2Cl7 (PBE-GGA, optimized geometry)
data_Cd2In2Cl7
_chemical_formula_sum 'Cd4 In4 Cl14'
_space_group_name_H-M_alt 'C 1 m 1'
_space_group_IT_number 8
_space_group_name_Hall 'C -2y'
_cell_length_a 9.377
_cell_length_b 12.052
_cell_length_c 6.599
_cell_angle_alpha 90.00
_cell_angle_beta 98.82
_cell_angle_gamma 90.00
loop_
_atom_site_label
_atom_site_fract_x
_atom_site_fract_y
_atom_site_fract_z
_atom_site_occupancy
Cd1 0.000 0.000 0.000 1
Cd2 0.023 0.500 0.168 1
In1 0.242 0.197 0.599 1
Cl1 0.003 0.332 0.384 1
Cl2 0.005 0.187 0.829 1
Cl3 0.113 0.000 0.370 1
Cl4 0.220 0.500 0.954 1
Cl5 0.309 0.000 0.877 1
# ΔE_f (raw) ... -10.1 eV per formula unit
# Offset from the most stable computed form ... 0.0 meV per atom
# VASP energy ... -60.57 eV per cell

=====

7.
# Ce6Sn5Hg (PBE-GGA, optimized geometry)
data_Ce6Sn5Hg
_chemical_formula_sum 'Ce12 Sn10 Hg2'
_space_group_name_H-M_alt 'I m m m'
_space_group_IT_number 71
_space_group_name_Hall '-I 2 2'
_cell_length_a 4.942
_cell_length_b 8.990
_cell_length_c 14.813
_cell_angle_alpha 90.00
_cell_angle_beta 90.00
_cell_angle_gamma 90.00
loop_
_atom_site_label
_atom_site_fract_x
_atom_site_fract_y
_atom_site_fract_z
_atom_site_occupancy
Ce1 0.000 0.248 0.000 1
Ce2 0.000 0.251 0.333 1
Sn1 0.000 0.000 0.166 1
Sn2 0.000 0.000 0.500 1
Sn3 0.000 0.500 0.165 1
Hg1 0.000 0.500 0.500 1
# VASP energy ... -124.87 eV per cell
# Energy relative to the elements ... -543.1 meV per atom

=====

8.
# Ac2PaWN6 (PBE-GGA, optimized geometry)
data_Ac2PaWN6
_chemical_formula_sum 'Ac2 Pa1 W1 N6'
_space_group_name_H-M_alt 'P 4/m m m'
_space_group_IT_number 123
_space_group_name_Hall '-P 4 2'
_cell_length_a 4.199
_cell_length_b 4.199
_cell_length_c 8.650
_cell_angle_alpha 90.00
_cell_angle_beta 90.00
_cell_angle_gamma 90.00
loop_
_atom_site_label
_atom_site_fract_x
_atom_site_fract_y
_atom_site_fract_z
_atom_site_occupancy
Ac1 0.000 0.000 0.226 1
Pa1 0.500 0.500 0.500 1
W1 0.500 0.500 0.000 1
N1 0.000 0.500 0.000 1
N2 0.000 0.500 0.500 1
N3 0.500 0.500 0.230 1
# ΔE_f (raw) ... -10.2 eV per formula unit
# VASP energy ... -90.79 eV per cell